No. 1
This record from Alexandria via LeMat-Bulk describes a relaxed Sr2HfZnRu crystal. The functional is PBE.

The space group is P4/mmm (No. 123) and the conventional cell measures 5.610, 5.610 and 5.121 Å, with angles of 90.00, 90.00 and 90.00 degrees. The inequivalent atoms are Sr at (0.000, 0.500, 0.000), Hf at (0.000, 0.000, 0.500), Zn at (0.000, 0.000, 0.000) and Ru at (0.500, 0.500, 0.500).

As for the raw total energy: -3.65 eV per atom.

No. 2
This record from Alexandria via LeMat-Bulk describes a relaxed HfTa2Ru crystal. The functional is PBE.

The space group is I-42d (No. 122) and the conventional cell measures 7.539, 7.539 and 5.490 Å, with angles of 90.00, 90.00 and 90.00 degrees. The inequivalent atoms are Hf at (0.000, 0.000, 0.000), Ta at (0.208, 0.250, 0.625) and Ru at (0.000, 0.000, 0.500).

As for the raw total energy: -10.44 eV per atom.

No. 3
This record from Alexandria via LeMat-Bulk describes a relaxed HfTa3Ru4 crystal. The functional is PBE.

The space group is Pmmm (No. 47) and the conventional cell measures 3.342, 4.418 and 8.823 Å, with angles of 90.00, 90.00 and 90.00 degrees. The inequivalent atoms are Hf at (0.000, 0.000, 0.000), Ta at (0.000, 0.000, 0.500), Ta at (0.000, 0.500, 0.255), Ru at (0.500, 0.000, 0.254), Ru at (0.500, 0.500, 0.000) and Ru at (0.500, 0.500, 0.500).

As for the raw total energy: -10.75 eV per atom.

No. 4
This record from Alexandria via LeMat-Bulk describes a relaxed Hf3TaRu4 crystal. The functional is PBE.

The space group is P4/mmm (No. 123) and the conventional cell measures 3.228, 3.228 and 12.865 Å, with angles of 90.00, 90.00 and 90.00 degrees. The inequivalent atoms are Hf at (0.000, 0.000, 0.000), Hf at (0.000, 0.000, 0.252), Ta at (0.000, 0.000, 0.500), Ru at (0.500, 0.500, 0.126) and Ru at (0.500, 0.500, 0.380).

As for the raw total energy: -10.54 eV per atom.

No. 5
This record from Alexandria via LeMat-Bulk describes a relaxed HfTaRu crystal. The functional is PBE.

The space group is I4/mmm (No. 139) and the conventional cell measures 3.098, 3.098 and 23.508 Å, with angles of 90.00, 90.00 and 90.00 degrees. The inequivalent atoms are Hf at (0.000, 0.000, 0.066), Ta at (0.000, 0.000, 0.210) and Ru at (0.000, 0.000, 0.358).

As for the raw total energy: -10.60 eV per atom.

No. 6
This record from Alexandria via LeMat-Bulk describes a relaxed HfTa2Ru2 crystal. The functional is PBE.

The space group is I4/mmm (No. 139) and the conventional cell measures 4.136, 4.136 and 11.307 Å, with angles of 90.00, 90.00 and 90.00 degrees. The inequivalent atoms are Hf at (0.000, 0.000, 0.000), Ta at (0.000, 0.000, 0.379) and Ru at (0.000, 0.500, 0.250).

As for the raw total energy: -10.24 eV per atom.

Number 1: ΔH_f (0 K) 1.120 eV per atom. Number 2: ΔH_f (0 K) 0.297 eV per atom. Number 3: ΔH_f (0 K) -0.427 eV per atom. Number 4: ΔH_f (0 K) -0.687 eV per atom. Number 5: ΔH_f (0 K) -0.242 eV per atom. Number 6: ΔH_f (0 K) 0.204 eV per atom.